# 1
Compound: LiCuPS2
Source: Alexandria
Functional: GGA-PBE
Structure: optimized geometry

The space group is P4/mmm (No. 123) and the conventional cell measures 4.463, 4.463 and 4.208 Å, with angles of 90.00, 90.00 and 90.00 degrees. The asymmetric unit holds Li at (0.000, 0.000, 0.000), Cu at (0.500, 0.500, 0.500), P at (0.000, 0.000, 0.500) and S at (0.000, 0.500, 0.000).

The value obtained for the raw formation energy is 3.89 eV/f.u. For the total magnetization, the calculation gives 0.0 μB per formula unit. The calculation puts the relative energy among the computed polymorphs at 476 meV per atom. The crystal system is tetragonal.

=====

# 2
Compound: Rb3NaCl2F6
Source: Alexandria
Functional: GGA-PBE
Structure: optimized geometry

The space group is P-3m1 (No. 164) and the conventional cell measures 6.2642, 6.2642 and 7.2951 Å, with angles of 90.00, 90.00 and 120.00 degrees. The asymmetric unit holds Rb at (0.0000, 0.0000, 0.0000), Rb at (0.3333, 0.6667, 0.6206), Na at (0.0000, 0.0000, 0.5000), Cl at (0.3333, 0.6667, 0.0940) and F at (0.1667, 0.3334, 0.3127).

The value obtained for the raw formation energy is -19.86 eV/f.u. For the total magnetization, the calculation gives 4.0 μB per formula unit. The crystal system is trigonal.

=====

# 3
Compound: Rb3Ac2PaSe6
Source: Alexandria
Functional: GGA-PBE
Structure: optimized geometry

The space group is C2/m (No. 12) and the conventional cell measures 7.787, 13.481 and 8.462 Å, with angles of 90.00, 107.92 and 90.00 degrees. The asymmetric unit holds Rb at (0.000, 0.000, 0.000), Rb at (0.000, 0.331, 0.000), Ac at (0.000, 0.166, 0.500), Pa at (0.000, 0.500, 0.500), Se at (0.226, 0.343, 0.705) and Se at (0.246, 0.500, 0.295).

The value obtained for the raw formation energy is -19.20 eV/f.u. For the total magnetization, the calculation gives 1.9 μB per formula unit. The crystal system is monoclinic.

=====

# 4
Compound: NiSnSe3
Source: Alexandria
Functional: GGA-PBE
Structure: optimized geometry

The space group is Pm-3m (No. 221) and the conventional cell measures 4.758, 4.758 and 4.758 Å, with angles of 90.00, 90.00 and 90.00 degrees. The asymmetric unit holds Ni at (0.000, 0.000, 0.000), Sn at (0.500, 0.500, 0.500) and Se at (0.000, 0.000, 0.500).

The value obtained for the raw formation energy is 0.29 eV/f.u. For the total magnetization, the calculation gives 0.0 μB per formula unit. The calculation puts the relative energy among the computed polymorphs at 0 meV per atom. The crystal system is cubic.

=====

# 5
Compound: Al2Zn3Ag2
Source: Alexandria
Functional: GGA-PBE
Structure: optimized geometry

The space group is C2/m (No. 12) and the conventional cell measures 13.418, 2.923 and 6.751 Å, with angles of 90.00, 118.82 and 90.00 degrees. The asymmetric unit holds Al at (0.063, 0.000, 0.241), Zn at (0.000, 0.500, 0.500), Zn at (0.214, 0.500, 0.630) and Ag at (0.144, 0.500, 0.970).

For the formation energy, the calculation gives 15 meV/atom. For the total magnetization, the calculation gives 0.0 μB per formula unit. The calculation puts the relative energy among the computed polymorphs at 3 meV per atom. The crystal system is monoclinic.

=====

# 6
Compound: Tb2CePmY
Source: Alexandria
Functional: GGA-PBE
Structure: optimized geometry

The space group is Pmma (No. 51) and the conventional cell measures 5.935, 7.862 and 7.096 Å, with angles of 90.00, 90.00 and 90.00 degrees. The asymmetric unit holds Tb at (0.250, 0.206, 0.185), Ce at (0.000, 0.500, 0.500), Pm at (0.250, 0.000, 0.663) and Y at (0.250, 0.500, 0.894).

For the formation energy, the calculation gives 293 meV/atom. For the total magnetization, the calculation gives 1.7 μB per formula unit. The crystal system is orthorhombic.

=====

# 7
Compound: Nb2CdRe
Source: Alexandria
Functional: GGA-PBE
Structure: optimized geometry

The space group is I-42d (No. 122) and the conventional cell measures 7.520, 7.520 and 5.611 Å, with angles of 90.00, 90.00 and 90.00 degrees. The asymmetric unit holds Nb at (0.208, 0.250, 0.125), Cd at (0.000, 0.000, 0.500) and Re at (0.000, 0.000, 0.000).

For the formation energy, the calculation gives 632 meV/atom. For the total magnetization, the calculation gives 0.0 μB per formula unit. The crystal system is tetragonal.

=====

# 8
Compound: Mg2SbPN
Source: Alexandria
Functional: GGA-PBE
Structure: optimized geometry

The space group is P4/mmm (No. 123) and the conventional cell measures 4.216, 4.216 and 4.898 Å, with angles of 90.00, 90.00 and 90.00 degrees. The asymmetric unit holds Mg at (0.000, 0.500, 0.000), Sb at (0.000, 0.000, 0.500), P at (0.500, 0.500, 0.500) and N at (0.000, 0.000, 0.000).

The value obtained for the raw formation energy is -0.52 eV/f.u. For the total magnetization, the calculation gives 0.0 μB per formula unit. The crystal system is tetragonal.